(1)
Na4Cu2S3 at its PBEsol-relaxed geometry. Source: Alexandria via LeMat-Bulk, functional SCAN.

```
Na4Cu2S3
1.0
9.4116 0.0000 0.0000
0.0000 9.4116 0.0000
-4.7058 -4.7058 18.0317
Na Cu S
32 16 24
Direct
0.0000 0.0000 0.0000 Na
0.2500 0.7500 0.5000 Na
0.5000 0.5000 0.0000 Na
0.7500 0.2500 0.5000 Na
0.9069 0.9069 0.8137 Na
0.1569 0.6569 0.3137 Na
0.3431 0.8431 0.6863 Na
0.0931 0.0931 0.1863 Na
0.4908 0.9908 0.9815 Na
0.2408 0.2408 0.4815 Na
0.7592 0.7592 0.5185 Na
0.0092 0.5092 0.0185 Na
0.9133 0.4133 0.8265 Na
0.6633 0.6633 0.3265 Na
0.3367 0.3367 0.6735 Na
0.5867 0.0867 0.1735 Na
0.2113 0.1684 0.8283 Na
0.9099 0.9613 0.3283 Na
0.4184 0.3670 0.3283 Na
0.6170 0.6599 0.8283 Na
0.0387 0.5816 0.6717 Na
0.3401 0.7887 0.1717 Na
0.8316 0.3830 0.1717 Na
0.6330 0.0901 0.6717 Na
0.7505 0.2436 0.9860 Na
0.9924 0.5005 0.4860 Na
0.4936 0.9855 0.4860 Na
0.2355 0.7424 0.9860 Na
0.4995 0.5064 0.5140 Na
0.2576 0.2495 0.0140 Na
0.7564 0.7645 0.0140 Na
0.0145 0.0076 0.5140 Na
0.5729 0.3163 0.8425 Cu
0.7762 0.3229 0.3425 Cu
0.5663 0.0196 0.3425 Cu
0.2696 0.5262 0.8425 Cu
0.6771 0.4337 0.6575 Cu
0.4738 0.4271 0.1575 Cu
0.6837 0.7304 0.1575 Cu
0.9804 0.2238 0.6575 Cu
0.5783 0.0391 0.8372 Cu
0.0480 0.3283 0.3372 Cu
0.2891 0.0089 0.3372 Cu
0.2589 0.7980 0.8372 Cu
0.6717 0.7109 0.6628 Cu
0.2020 0.4217 0.1628 Cu
0.9609 0.7411 0.1628 Cu
0.9911 0.9520 0.6628 Cu
0.4367 0.1401 0.7610 S
0.8708 0.1867 0.2610 S
0.3901 0.0742 0.2610 S
0.3242 0.6208 0.7610 S
0.8133 0.6099 0.7390 S
0.3792 0.5633 0.2390 S
0.8599 0.6758 0.2390 S
0.9258 0.1292 0.7390 S
0.7217 0.9436 0.9140 S
0.2205 0.4717 0.4140 S
0.1936 0.9423 0.4140 S
0.1923 0.9705 0.9140 S
0.5283 0.8064 0.5860 S
0.0295 0.2783 0.0860 S
0.0564 0.8077 0.0860 S
0.0577 0.7795 0.5860 S
0.1988 0.4438 0.9230 S
0.7292 0.9488 0.4230 S
0.6938 0.4741 0.4230 S
0.7241 0.4792 0.9230 S
0.0512 0.3062 0.5770 S
0.5208 0.8012 0.0770 S
0.5562 0.2759 0.0770 S
0.5259 0.2708 0.5770 S
```

Values from the calculation:
symmetry	No. 88
raw total energy	-677.466	eV/cell


(2)
NaTiCuS3 at its PBEsol-relaxed geometry. Source: Alexandria via LeMat-Bulk, functional SCAN.

```
NaTiCuS3
1.0
-1.2921 3.1530 0.8942
-8.0077 -1.9653 -4.6410
-4.9418 -5.0500 10.6653
Na Ti Cu S
4 4 4 12
Direct
0.2500 0.0458 0.2335 Na
0.7500 0.9542 0.7665 Na
0.7500 0.5458 0.2665 Na
0.2500 0.4542 0.7335 Na
0.2500 0.3263 0.0129 Ti
0.7500 0.6737 0.9871 Ti
0.7500 0.8263 0.4871 Ti
0.2500 0.1737 0.5129 Ti
0.2500 0.5958 0.4874 Cu
0.7500 0.4042 0.5126 Cu
0.7500 0.0958 0.0126 Cu
0.2500 0.9042 0.9874 Cu
0.2500 0.5659 0.0946 S
0.7500 0.4341 0.9054 S
0.7500 0.0659 0.4054 S
0.2500 0.9341 0.5946 S
0.2500 0.3726 0.4002 S
0.7500 0.6274 0.5998 S
0.7500 0.8726 0.0998 S
0.2500 0.1274 0.9002 S
0.2500 0.7622 0.3637 S
0.7500 0.2378 0.6363 S
0.7500 0.2622 0.1363 S
0.2500 0.7378 0.8637 S
```

Values from the calculation:
symmetry	No. 62
raw total energy	-286.741	eV/cell


(3)
Na2CuSb2 at its PBEsol-relaxed geometry. Source: Alexandria via LeMat-Bulk, functional SCAN.

```
Na2CuSb2
1.0
5.1218 0.0000 0.0000
0.0000 6.8780 0.0000
0.0000 0.0000 6.8780
Sb Cu Na
4 2 4
Direct
0.0000 0.3485 0.8485 Sb
0.0000 0.8485 0.6515 Sb
0.0000 0.6515 0.1515 Sb
0.0000 0.1515 0.3485 Sb
0.0000 0.0000 0.0000 Cu
0.0000 0.5000 0.5000 Cu
0.5000 0.1658 0.6658 Na
0.5000 0.6658 0.8342 Na
0.5000 0.8342 0.3342 Na
0.5000 0.3342 0.1658 Na
```

Values from the calculation:
symmetry	No. 127
raw total energy	-199.029	eV/cell


(4)
NaCuSbTe2 at its PBEsol-relaxed geometry. Source: Alexandria via LeMat-Bulk, functional SCAN.

```
NaCuSbTe2
1.0
-0.7110 4.6321 1.3599
-5.0322 -0.2465 -1.7915
-1.6319 -1.6634 4.8129
Sb Te Cu Na
1 2 1 1
Direct
0.5000 0.0000 0.0000 Sb
0.0000 0.0000 0.5000 Te
0.0000 0.5000 0.0000 Te
0.0000 0.0000 0.0000 Cu
0.5000 0.5000 0.5000 Na
```

Values from the calculation:
symmetry	No. 123
raw total energy	-131.018	eV/cell


(5)
NaCuSe at its PBEsol-relaxed geometry. Source: Alexandria via LeMat-Bulk, functional SCAN.

```
NaCuSe
1.0
-3.0829 1.5173 -2.0771
-2.5544 -2.1876 2.1932
-0.5132 5.0928 4.4820
Na Cu Se
2 2 2
Direct
0.5000 0.0000 0.1610 Na
0.0000 0.5000 0.8390 Na
0.0000 0.0000 0.5000 Cu
0.5000 0.5000 0.5000 Cu
0.5000 0.0000 0.7210 Se
0.0000 0.5000 0.2790 Se
```

Values from the calculation:
symmetry	No. 129
raw total energy	-83.106	eV/cell


(6)
NaCu2Se2 at its PBEsol-relaxed geometry. Source: Alexandria via LeMat-Bulk, functional SCAN.

```
NaCu2Se2
1.0
3.7867 0.0000 0.0000
0.0000 3.7867 0.0000
-1.8933 -1.8933 6.5468
Na Cu Se
1 2 2
Direct
0.0000 0.0000 0.0000 Na
0.2500 0.7500 0.5000 Cu
0.7500 0.2500 0.5000 Cu
0.3668 0.3668 0.7336 Se
0.6332 0.6332 0.2664 Se
```

Values from the calculation:
symmetry	No. 139
raw total energy	-77.336	eV/cell


(7)
NaCu3Se at its PBEsol-relaxed geometry. Source: Alexandria via LeMat-Bulk, functional SCAN.

```
NaCu3Se
1.0
4.4737 0.0000 0.0000
0.0000 4.4737 0.0000
0.0000 0.0000 4.4737
Na Cu Se
1 3 1
Direct
0.0000 0.0000 0.0000 Na
0.0000 0.5000 0.0000 Cu
0.0000 0.0000 0.5000 Cu
0.5000 0.0000 0.0000 Cu
0.5000 0.5000 0.5000 Se
```

Values from the calculation:
symmetry	No. 221
raw total energy	-63.410	eV/cell


(8)
Na3CuSnSe4 at its PBEsol-relaxed geometry. Source: Alexandria via LeMat-Bulk, functional SCAN.

```
Na3CuSnSe4
1.0
6.8505 0.0000 0.0010
0.0000 10.1398 0.0000
0.1118 0.0000 12.8553
Na Cu Sn Se
12 4 4 16
Direct
0.2281 0.8922 0.5178 Na
0.4399 0.3633 0.3756 Na
0.2719 0.3922 0.9822 Na
0.5601 0.6367 0.6244 Na
0.5240 0.8795 0.8720 Na
0.0240 0.6205 0.3720 Na
0.7281 0.6078 0.0178 Na
0.9760 0.3795 0.6280 Na
0.9399 0.1367 0.8756 Na
0.0601 0.8633 0.1244 Na
0.4760 0.1205 0.1280 Na
0.7719 0.1078 0.4822 Na
0.4075 0.6105 0.2132 Cu
0.0925 0.1105 0.2868 Cu
0.5925 0.3895 0.7868 Cu
0.9075 0.8895 0.7132 Cu
0.5852 0.8625 0.3059 Sn
0.0852 0.6375 0.8059 Sn
0.9148 0.3625 0.1941 Sn
0.4148 0.1375 0.6941 Sn
0.0446 0.1590 0.0993 Se
0.5934 0.9274 0.6398 Se
0.9458 0.9024 0.3405 Se
0.9979 0.6812 0.6160 Se
0.0934 0.5726 0.1398 Se
0.4554 0.6590 0.4007 Se
0.0542 0.0976 0.6595 Se
0.4066 0.0726 0.3602 Se
0.0021 0.3188 0.3840 Se
0.9066 0.4274 0.8602 Se
0.4458 0.5976 0.8405 Se
0.5542 0.4024 0.1595 Se
0.5446 0.3410 0.5993 Se
0.5021 0.1812 0.8840 Se
0.9554 0.8410 0.9007 Se
0.4979 0.8188 0.1160 Se
```

Values from the calculation:
symmetry	No. 14
raw total energy	-606.455	eV/cell


(9)
NaTiCu3Se4 at its PBEsol-relaxed geometry. Source: Alexandria via LeMat-Bulk, functional SCAN.

```
NaTiCu3Se4
1.0
-4.7718 0.5004 3.2587
-1.6784 -5.3030 -1.6434
2.8377 -2.2951 4.5077
Na Ti Cu Se
1 1 3 4
Direct
0.5000 0.5000 0.5000 Na
0.0000 0.0000 0.0000 Ti
0.0000 0.5000 0.0000 Cu
0.0000 0.0000 0.5000 Cu
0.5000 0.0000 0.0000 Cu
0.2351 0.2351 0.2351 Se
0.7649 0.7649 0.2351 Se
0.2351 0.7649 0.7649 Se
0.7649 0.2351 0.7649 Se
```

Values from the calculation:
symmetry	No. 215
raw total energy	-152.980	eV/cell


(10)
Na2CuSi2 at its PBEsol-relaxed geometry. Source: Alexandria via LeMat-Bulk, functional SCAN.

```
Na2CuSi2
1.0
-4.4823 1.9492 -0.3040
-2.4085 -5.5906 -0.3357
-0.4806 -0.1577 6.0756
Na Si Cu
4 4 2
Direct
0.5000 0.1764 0.6764 Na
0.5000 0.6764 0.8236 Na
0.5000 0.8236 0.3236 Na
0.5000 0.3236 0.1764 Na
0.0000 0.3631 0.8631 Si
0.0000 0.8631 0.6369 Si
0.0000 0.6369 0.1369 Si
0.0000 0.1369 0.3631 Si
0.0000 0.0000 0.0000 Cu
0.0000 0.5000 0.5000 Cu
```

Values from the calculation:
symmetry	No. 127
raw total energy	-86.926	eV/cell


(11)
Na3CuSn at its PBEsol-relaxed geometry. Source: Alexandria via LeMat-Bulk, functional SCAN.

```
Na3CuSn
1.0
5.7750 0.0000 0.0000
0.0000 5.7750 0.0000
0.0000 0.0000 5.7750
Na Sn Cu
3 1 1
Direct
0.0000 0.5000 0.0000 Na
0.0000 0.0000 0.5000 Na
0.5000 0.0000 0.0000 Na
0.0000 0.0000 0.0000 Sn
0.5000 0.5000 0.5000 Cu
```

Values from the calculation:
symmetry	No. 221
calculated formation energy	3.1	eV/f.u.


(12)
NaSr3Cu at its PBEsol-relaxed geometry. Source: Alexandria via LeMat-Bulk, functional SCAN.

```
NaSr3Cu
1.0
-0.5231 1.4708 -5.7556
-0.4541 -5.7708 -1.4335
-5.9231 0.3125 0.6181
Sr Cu Na
3 1 1
Direct
0.0000 0.5000 0.0000 Sr
0.0000 0.0000 0.5000 Sr
0.5000 0.0000 0.0000 Sr
0.0000 0.0000 0.0000 Cu
0.5000 0.5000 0.5000 Na
```

Values from the calculation:
symmetry	No. 221
calculated formation energy	0.0	eV/f.u.